Compound: NaSr2MnO4
Source: Alexandria
Functional: PBE with a Hubbard U
Structure: optimized geometry

```
NaSr2MnO4
1.0
4.667 -4.653 0.000
4.667 4.653 0.000
-4.504 0.000 5.610
Na Sr Mn O
2 4 2 8
direct
0.000 0.000 0.000 Na
0.000 0.000 0.500 Na
0.000 0.500 0.000 Sr
0.500 0.000 0.500 Sr
0.500 0.500 0.000 Sr
0.500 0.500 0.500 Sr
0.000 0.500 0.500 Mn
0.500 0.000 0.000 Mn
0.182 0.690 0.440 O
0.226 0.301 0.537 O
0.301 0.226 0.037 O
0.310 0.818 0.060 O
0.690 0.182 0.940 O
0.699 0.774 0.963 O
0.774 0.699 0.463 O
0.818 0.310 0.560 O
```

**Symmetry**: C2/c
**Energy**: -6.048 eV per atom